## RuRhAu2 (PBE-GGA)

Data for an optimized crystal structure of RuRhAu2.

Summary:
E_form (meV per atom): 455
Energy above the most stable polymorph in this dataset (meV per atom): 306
Space group: Fm-3m, No. 225
Raw total energy (eV per atom): -5.3404
Calculated density (g/cm³): 15.3

Lattice parameters (Å, degrees): 4.507 4.507 4.507 60.00 60.00 60.00
Each line ends with the local moment (μB).
Fractional positions:
Rh (0.500, 0.500, 0.500)  0.24
Au (0.250, 0.250, 0.250)  0.03
Au (0.750, 0.750, 0.750)  0.03
Ru (0.000, 0.000, 0.000)  1.12

---

## MgAs2IBr (PBE-GGA)

Data for an optimized crystal structure of MgAs2IBr.

Summary:
Formation energy without anion corrections (eV/f.u.): 1.44
Energy above the most stable polymorph in this dataset (meV per atom): 0
Space group: P4/mmm, No. 123
Raw total energy (eV per atom): -2.5359
Calculated density (g/cm³): 4.5

Lattice parameters (Å, degrees): 5.283 5.283 5.001 90.00 90.00 90.00
Each line ends with the local moment (μB).
Fractional positions:
I (0.500, 0.500, 0.500)  -0.01
As (0.000, 0.500, 0.000)  0.17
As (0.500, 0.000, 0.000)  0.17
Mg (0.000, 0.000, 0.000)  0.00
Br (0.000, 0.000, 0.500)  0.02

---

## Tm2AlSi3Ni12 (PBE-GGA)

Data for an optimized crystal structure of Tm2AlSi3Ni12.

Summary:
Formation energy without anion corrections (eV/f.u.): -4.70
Space group: R-3m, No. 166
Raw total energy (eV per atom): -5.7239
Calculated density (g/cm³): 8.0

Lattice parameters (Å, degrees): 6.230 6.230 6.230 84.15 84.15 84.15
Fractional positions:
Tm (0.653, 0.653, 0.653)
Tm (0.347, 0.347, 0.347)
Al (0.000, 0.000, 0.000)
Si (0.500, 0.000, 0.000)
Si (0.000, 0.500, 0.000)
Si (0.000, 0.000, 0.500)
Ni (0.385, 0.385, 0.904)
Ni (0.813, 0.813, 0.296)
Ni (0.296, 0.813, 0.813)
Ni (0.904, 0.385, 0.385)
Ni (0.813, 0.296, 0.813)
Ni (0.385, 0.904, 0.385)
Ni (0.615, 0.615, 0.096)
Ni (0.187, 0.187, 0.704)
Ni (0.704, 0.187, 0.187)
Ni (0.096, 0.615, 0.615)
Ni (0.187, 0.704, 0.187)
Ni (0.615, 0.096, 0.615)

---

## CrW (PBE-GGA)

Data for an optimized crystal structure of CrW.

Summary:
E_form (meV per atom): 658
Space group: P4/m, No. 83
Raw total energy (eV per atom): -10.6304
Calculated density (g/cm³): 13.0

Lattice parameters (Å, degrees): 9.058 9.058 2.934 90.00 90.00 90.00
Fractional positions:
Cr (0.064, 0.826, 0.500)
Cr (0.936, 0.174, 0.500)
Cr (0.174, 0.064, 0.500)
Cr (0.826, 0.936, 0.500)
Cr (0.920, 0.394, 0.000)
Cr (0.080, 0.606, 0.000)
Cr (0.606, 0.920, 0.000)
Cr (0.394, 0.080, 0.000)
W (0.712, 0.448, 0.500)
W (0.288, 0.552, 0.500)
W (0.552, 0.712, 0.500)
W (0.448, 0.288, 0.500)
W (0.822, 0.697, 0.000)
W (0.178, 0.303, 0.000)
W (0.303, 0.822, 0.000)
W (0.697, 0.178, 0.000)

---

## GePPt2 (PBE-GGA)

Data for an optimized crystal structure of GePPt2.

Summary:
E_form (meV per atom): -1
Energy above the most stable polymorph in this dataset (meV per atom): 343
Space group: Fm-3m, No. 225
Raw total energy (eV per atom): -5.5278
Calculated density (g/cm³): 13.1

Lattice parameters (Å, degrees): 4.461 4.461 4.461 60.00 60.00 60.00
Fractional positions:
P (0.000, 0.000, 0.000)
Ge (0.500, 0.500, 0.500)
Pt (0.250, 0.250, 0.250)
Pt (0.750, 0.750, 0.750)

---

## PaMnReTc (PBE-GGA)

Data for an optimized crystal structure of PaMnReTc.

Summary:
E_form (meV per atom): 132
Space group: F-43m, No. 216
Raw total energy (eV per atom): -10.2377
Calculated density (g/cm³): 13.8

Lattice parameters (Å, degrees): 4.594 4.594 4.594 60.00 60.00 60.00
Each line ends with the local moment (μB).
Fractional positions:
Re (0.000, 0.000, 0.000)  -0.15
Pa (0.250, 0.250, 0.250)  0.20
Tc (0.500, 0.500, 0.500)  0.00
Mn (0.750, 0.750, 0.750)  3.34